La2AgBr after structural relaxation, computed with GGA-PBE.

Unit cell a=4.3142 b=4.3142 c=8.1951 alpha=74.74 beta=74.74 gamma=60.00
Positions (direct):
Ag: 0.6675 0.6675 0.9975
Br: 0.4986 0.4986 0.5042
La: 0.0780 0.0780 0.7659
La: 0.2559 0.2559 0.2324

Properties
uncorrected formation energy	-2.7	eV per formula unit
excess energy over the best structure of this formula in the dataset	0.38	eV per formula unit
space-group type	R3m, No. 160
magnetization	0.00	μB/atom